Here is a relaxed NbReB4 crystal from OQMD via LeMat-Bulk. Energies are from GGA-PBE.

Output
* total moment: 0.0 μB per formula unit
* energy above the lowest structure with this stoichiometry: 0.0000 eV/atom
* space-group type: No. 71
* density: 9.87 g/cm³

a = 4.5564 Å, b = 4.5564 Å, c = 4.5564 Å
α = 141.06°, β = 109.70°, γ = 83.40°
Closest atoms and distances in Å follow each position.
Sites, in units of the cell vectors:
Nb: 0.0000 0.0000 0.0000  12 B 2.44
Re: 0.5000 0.5000 0.0000  12 B 2.42-2.45
B: 0.0799 0.7483 0.3316  3 B 1.74-1.77
B: 0.4168 0.7483 0.6684  3 B 1.74-1.77
B: 0.5832 0.2517 0.3316  3 B 1.74-1.77
B: 0.9201 0.2517 0.6684  3 B 1.74-1.77